# NiPt | Alexandria via LeMat-Bulk | PBE | optimized geometry
# Energy relative to the elements = 0.083 eV per atom
# Size of the total moment = 0.0 μB per formula unit
data_NiPt
_space_group_name_H-M_alt 'I 4/m m m'
_space_group_IT_number 139
_space_group_name_Hall '-I 4 2'
_cell_length_a 7.5895
_cell_length_b 7.5895
_cell_length_c 3.8827
_cell_angle_alpha 90.00
_cell_angle_beta 90.00
_cell_angle_gamma 90.00
loop_
_atom_site_label
_atom_site_fract_x
_atom_site_fract_y
_atom_site_fract_z
_atom_site_occupancy
Ni1 0.1602 0.1602 0.0000 1
Pt1 0.0000 0.3077 0.5000 1

***

# NiPt | Alexandria via LeMat-Bulk | PBE | optimized geometry
# Energy relative to the elements = 1.056 eV per atom
# Size of the total moment = 1.4 μB per formula unit
data_NiPt
_space_group_name_H-M_alt 'I -4 3 m'
_space_group_IT_number 217
_space_group_name_Hall 'I -4 2 3'
_cell_length_a 7.4706
_cell_length_b 7.4706
_cell_length_c 7.4706
_cell_angle_alpha 90.00
_cell_angle_beta 90.00
_cell_angle_gamma 90.00
loop_
_atom_site_label
_atom_site_fract_x
_atom_site_fract_y
_atom_site_fract_z
_atom_site_occupancy
Ni1 0.1862 0.1862 0.1862 1
Pt1 0.1342 0.1342 0.8658 1

***

Question: Among the records above, which one has the lowest energy relative to the elements?
Answer: number 1